(1)
Here is crystalline Pa2AlPt2 at its relaxed geometry from Alexandria via LeMat-Bulk. Energies are from PBE-GGA.

Results
V (Å³ per atom): 20.9
Calculated total energy (eV/atom): -7.78
Spin magnetization (μB/atom): 0.0000

```
Pa2AlPt2
1.0
-2.2197 2.9975 3.9345
2.2197 -2.9975 3.9345
2.2197 2.9975 -3.9345
Pa Al Pt
2 1 2
direct
0.1947 0.1947 0.0000
0.8053 0.8053 0.0000
0.5000 0.0000 0.5000
0.2354 0.5000 0.7354
0.7646 0.5000 0.2646
```


(2)
Here is crystalline Dy2AlCu at its relaxed geometry from Alexandria via LeMat-Bulk. Energies are from PBE-GGA.

Results
V (Å³ per atom): 25.4
Calculated total energy (eV/atom): -3.94
Spin magnetization (μB/atom): 0.0000

```
Dy2AlCu
1.0
1.7026 0.9830 10.1312
-1.7026 0.9830 10.1312
0.0000 -1.9660 10.1312
Dy Al Cu
2 1 1
direct
0.0912 0.0912 0.0912
0.9088 0.9088 0.9088
0.5000 0.5000 0.5000
0.0000 0.0000 0.0000
```


(3)
Here is crystalline Al2C at its relaxed geometry from Alexandria via LeMat-Bulk. Energies are from PBE-GGA.

Results
V (Å³ per atom): 13.3
Calculated total energy (eV/atom): -5.57
Spin magnetization (μB/atom): 0.0000

```
Al2C
1.0
3.1355 0.0000 0.0000
-1.5677 2.7154 0.0000
0.0000 0.0000 9.3517
Al C
4 2
direct
0.3333 0.6667 0.1102
0.3333 0.6667 0.3898
0.6667 0.3333 0.6102
0.6667 0.3333 0.8898
0.0000 0.0000 0.0000
0.0000 0.0000 0.5000
```


(4)
Here is crystalline MnCuSi2 at its relaxed geometry from Alexandria via LeMat-Bulk. Energies are from PBE-GGA.

Results
V (Å³ per atom): 11.7
Calculated total energy (eV/atom): -6.13
ΔE_f (raw) (meV/atom): -98
Spin magnetization (μB/atom): 0.0000

```
MnCuSi2
1.0
2.9471 0.0000 0.0000
0.0000 2.9471 0.0000
0.0000 0.0000 5.3978
Mn Cu Si
1 1 2
direct
0.0000 0.0000 0.0000
0.0000 0.0000 0.5000
0.5000 0.5000 0.2377
0.5000 0.5000 0.7623
```


(5)
Here is crystalline Ho3Ni13B2 at its relaxed geometry from Alexandria via LeMat-Bulk. Energies are from PBE-GGA.

Results
V (Å³ per atom): 12.8
Calculated total energy (eV/atom): -6.12
Spin magnetization (μB/atom): 0.1162

```
Ho3Ni13B2
1.0
4.9363 0.0000 0.0000
-2.4681 4.2749 0.0000
0.0000 0.0000 10.9006
Ho Ni B
3 13 2
direct
0.0000 0.0000 0.0000
0.0000 0.0000 0.3291
0.0000 0.0000 0.6709
0.0000 0.5000 0.1332
0.0000 0.5000 0.5000
0.0000 0.5000 0.8668
0.3333 0.6667 0.3192
0.3333 0.6667 0.6808
0.5000 0.0000 0.1332
0.5000 0.0000 0.5000
0.5000 0.0000 0.8668
0.5000 0.5000 0.1332
0.5000 0.5000 0.5000
0.5000 0.5000 0.8668
0.6667 0.3333 0.3192
0.6667 0.3333 0.6808
0.3333 0.6667 0.0000
0.6667 0.3333 0.0000
```


(6)
Here is crystalline MgReAs2Pt at its relaxed geometry from Alexandria via LeMat-Bulk. Energies are from PBE-GGA.

Results
V (Å³ per atom): 21.0
Calculated total energy (eV/atom): -4.41
Spin magnetization (μB/atom): 0.6427

```
MgReAs2Pt
1.0
4.7440 0.0000 0.0000
0.0000 4.7440 0.0000
0.0000 0.0000 4.6587
Mg Re As Pt
1 1 2 1
direct
0.0000 0.0000 0.0000
0.5000 0.5000 0.5000
0.0000 0.5000 0.0000
0.5000 0.0000 0.0000
0.0000 0.0000 0.5000
```


(7)
Here is crystalline Y4AlRu at its relaxed geometry from Alexandria via LeMat-Bulk. Energies are from PBE-GGA.

Results
V (Å³ per atom): 27.0
Calculated total energy (eV/atom): -6.78
Offset from the most stable computed form (kJ/mol of formula units): 0
Spin magnetization (μB/atom): 0.0000

```
Y4AlRu
1.0
4.4564 -6.6295 0.0000
4.4564 6.6295 0.0000
-2.7707 0.0000 5.4816
Y Al Ru
8 2 2
direct
0.0580 0.7093 0.9226
0.2166 0.3554 0.6786
0.2907 0.9420 0.5774
0.3554 0.2166 0.1786
0.6446 0.7834 0.8214
0.7093 0.0580 0.4226
0.7834 0.6446 0.3214
0.9420 0.2907 0.0774
0.3712 0.6288 0.2500
0.6288 0.3712 0.7500
0.9997 0.0003 0.2500
0.0003 0.9997 0.7500
```


(8)
Here is crystalline NdSm6In3 at its relaxed geometry from Alexandria via LeMat-Bulk. Energies are from PBE-GGA.

Results
V (Å³ per atom): 32.5
Calculated total energy (eV/atom): -4.28
Spin magnetization (μB/atom): 0.0000

```
NdSm6In3
1.0
5.3187 -7.7591 0.0000
5.3187 7.7591 0.0000
0.0000 0.0000 7.8782
Nd Sm In
2 12 6
direct
0.2172 0.7828 0.5000
0.7828 0.2172 0.0000
0.0492 0.9508 0.2127
0.0760 0.4512 0.7081
0.2313 0.2977 0.0210
0.2977 0.2313 0.5210
0.3050 0.6950 0.0429
0.4512 0.0760 0.2081
0.5488 0.9240 0.7081
0.6950 0.3050 0.5429
0.7023 0.7687 0.0210
0.7687 0.7023 0.5210
0.9240 0.5488 0.2081
0.9508 0.0492 0.7127
0.0092 0.2773 0.3472
0.2773 0.0092 0.8472
0.4485 0.5515 0.7345
0.5515 0.4485 0.2345
0.7227 0.9908 0.3472
0.9908 0.7227 0.8472
```


Among the records above, which one has the lowest calculated total energy? Pa2AlPt2


Repeat the eighth record exactly.
Here is crystalline NdSm6In3 at its relaxed geometry from Alexandria via LeMat-Bulk. Energies are from PBE-GGA.

Results
V (Å³ per atom): 32.5
Calculated total energy (eV/atom): -4.28
Spin magnetization (μB/atom): 0.0000

```
NdSm6In3
1.0
5.3187 -7.7591 0.0000
5.3187 7.7591 0.0000
0.0000 0.0000 7.8782
Nd Sm In
2 12 6
direct
0.2172 0.7828 0.5000
0.7828 0.2172 0.0000
0.0492 0.9508 0.2127
0.0760 0.4512 0.7081
0.2313 0.2977 0.0210
0.2977 0.2313 0.5210
0.3050 0.6950 0.0429
0.4512 0.0760 0.2081
0.5488 0.9240 0.7081
0.6950 0.3050 0.5429
0.7023 0.7687 0.0210
0.7687 0.7023 0.5210
0.9240 0.5488 0.2081
0.9508 0.0492 0.7127
0.0092 0.2773 0.3472
0.2773 0.0092 0.8472
0.4485 0.5515 0.7345
0.5515 0.4485 0.2345
0.7227 0.9908 0.3472
0.9908 0.7227 0.8472
```


Among the records above, which one has the lowest V? MnCuSi2


The highest V belongs to which entry? NdSm6In3